Entry 1:
A plane-wave DFT calculation with PBE was carried out for crystalline RbSbPbI2 at its relaxed geometry.

Computed properties:
Raw formation energy: -0.380 eV per atom
Excess energy over the best structure of this formula in the dataset: 0.000 eV per atom
V: 254.61 Å³/f.u.
Electronic total energy: -2.76 eV/atom

a = 6.4411 Å, b = 6.4411 Å, c = 6.1371 Å
α = 90.00°, β = 90.00°, γ = 90.00°
With the nearest neighbours (Å) after each atom.
Sites, in units of the cell vectors:
1 Rb 0.0000 0.0000 0.0000  8 I 4.45, 4 Sb 4.55
2 Sb 0.5000 0.5000 0.0000  2 Pb 3.07
3 Pb 0.5000 0.5000 0.5000  2 Sb 3.07, 4 I 3.22
4 I 0.0000 0.5000 0.5000  2 Pb 3.22
5 I 0.5000 0.0000 0.5000  2 Pb 3.22

---

Entry 2:
A plane-wave DFT calculation with PBE was carried out for crystalline Rb2PbSeI6 at its relaxed geometry.

Computed properties:
Raw formation energy: -0.667 eV per atom
V: 461.78 Å³/f.u.
Electronic total energy: -2.51 eV/atom

a = 8.7437 Å, b = 8.7437 Å, c = 8.7437 Å
α = 121.46°, β = 121.46°, γ = 87.49°
With the nearest neighbours (Å) after each atom.
Sites, in units of the cell vectors:
1 Rb 0.2500 0.7500 0.5000  12 I 4.28-4.37
2 Rb 0.7500 0.2500 0.5000  12 I 4.28-4.37
3 Pb 0.0000 0.0000 0.0000  6 I 3.13
4 Se 0.5000 0.5000 0.0000  6 I 2.92-3.19
5 I 0.2477 0.2477 0.0000  1 Pb 3.13, 1 Se 3.19
6 I 0.2588 0.2588 0.5177  1 Se 2.92, 1 Pb 3.13
7 I 0.2588 0.7412 0.0000  1 Se 2.92, 1 Pb 3.13
8 I 0.7412 0.2588 0.0000  1 Se 2.92, 1 Pb 3.13
9 I 0.7412 0.7412 0.4823  1 Se 2.92, 1 Pb 3.13
10 I 0.7523 0.7523 0.0000  1 Pb 3.13, 1 Se 3.19

---

Entry 3:
A plane-wave DFT calculation with PBE was carried out for crystalline Rb2SiPbI6 at its relaxed geometry.

Computed properties:
Raw formation energy: -0.776 eV per atom
V: 452.82 Å³/f.u.
Electronic total energy: -2.81 eV/atom

a = 8.6195 Å, b = 8.6195 Å, c = 8.6195 Å
α = 60.00°, β = 60.00°, γ = 60.00°
With the nearest neighbours (Å) after each atom.
Sites, in units of the cell vectors:
1 Rb 0.2500 0.2500 0.2500  12 I 4.31
2 Rb 0.7500 0.7500 0.7500  12 I 4.31
3 Si 0.0000 0.0000 0.0000  6 I 2.91
4 Pb 0.5000 0.5000 0.5000  6 I 3.19
5 I 0.2386 0.2386 0.7614  1 Si 2.91, 1 Pb 3.19
6 I 0.2386 0.7614 0.2386  1 Si 2.91, 1 Pb 3.19
7 I 0.2386 0.7614 0.7614  1 Si 2.91, 1 Pb 3.19
8 I 0.7614 0.2386 0.2386  1 Si 2.91, 1 Pb 3.19
9 I 0.7614 0.2386 0.7614  1 Si 2.91, 1 Pb 3.19
10 I 0.7614 0.7614 0.2386  1 Si 2.91, 1 Pb 3.19

---

Entry 4:
A plane-wave DFT calculation with PBE was carried out for crystalline RbSmPbI6 at its relaxed geometry.

Computed properties:
Raw formation energy: -1.186 eV per atom
V: 471.16 Å³/f.u.
Electronic total energy: -3.26 eV/atom

a = 8.2284 Å, b = 8.2284 Å, c = 16.0708 Å
α = 90.00°, β = 90.00°, γ = 120.00°
With the nearest neighbours (Å) after each atom.
Sites, in units of the cell vectors:
1 Rb 0.0000 0.0000 0.0000  6 I 3.76
2 Rb 0.0000 0.0000 0.5000  6 I 3.76
3 Sm 0.3333 0.6667 0.2500  6 I 3.11
4 Sm 0.6667 0.3333 0.7500  6 I 3.11
5 Pb 0.3333 0.6667 0.7500  6 I 3.25
6 Pb 0.6667 0.3333 0.2500  6 I 3.25
7 I 0.0137 0.3773 0.1365  1 Sm 3.11, 1 Pb 3.25
8 I 0.0137 0.6364 0.3635  1 Sm 3.11, 1 Pb 3.25
9 I 0.3636 0.3773 0.3635  1 Sm 3.11, 1 Pb 3.25
10 I 0.3636 0.9863 0.1365  1 Sm 3.11, 1 Pb 3.25
11 I 0.3773 0.0137 0.6365  1 Sm 3.11, 1 Pb 3.25
12 I 0.3773 0.3636 0.8635  1 Sm 3.11, 1 Pb 3.25
13 I 0.6227 0.6364 0.1365  1 Sm 3.11, 1 Pb 3.25
14 I 0.6227 0.9863 0.3635  1 Sm 3.11, 1 Pb 3.25
15 I 0.6364 0.0137 0.8635  1 Sm 3.11, 1 Pb 3.25
16 I 0.6364 0.6227 0.6365  1 Sm 3.11, 1 Pb 3.25
17 I 0.9863 0.3636 0.6365  1 Sm 3.11, 1 Pb 3.25
18 I 0.9863 0.6227 0.8635  1 Sm 3.11, 1 Pb 3.25

---

Entry 5:
A plane-wave DFT calculation with PBE was carried out for crystalline Rb2SnPbI6 at its relaxed geometry.

Computed properties:
Raw formation energy: -0.905 eV per atom
Excess energy over the best structure of this formula in the dataset: 0.045 eV per atom
V: 501.73 Å³/f.u.
Electronic total energy: -2.80 eV/atom

a = 8.9192 Å, b = 8.9192 Å, c = 8.9192 Å
α = 60.00°, β = 60.00°, γ = 60.00°
With the nearest neighbours (Å) after each atom.
Sites, in units of the cell vectors:
1 Rb 0.2500 0.2500 0.2500  12 I 4.46
2 Rb 0.7500 0.7500 0.7500  12 I 4.46
3 Sn 0.0000 0.0000 0.0000  6 I 3.12
4 Pb 0.5000 0.5000 0.5000  6 I 3.18
5 I 0.2475 0.2475 0.7525  1 Sn 3.12, 1 Pb 3.18
6 I 0.2475 0.7525 0.2475  1 Sn 3.12, 1 Pb 3.18
7 I 0.2475 0.7525 0.7525  1 Sn 3.12, 1 Pb 3.18
8 I 0.7525 0.2475 0.2475  1 Sn 3.12, 1 Pb 3.18
9 I 0.7525 0.2475 0.7525  1 Sn 3.12, 1 Pb 3.18
10 I 0.7525 0.7525 0.2475  1 Sn 3.12, 1 Pb 3.18

---

Entry 6:
A plane-wave DFT calculation with PBE was carried out for crystalline Rb2SnPbI6 at its relaxed geometry.

Computed properties:
Raw formation energy: -0.950 eV per atom
Excess energy over the best structure of this formula in the dataset: 0.000 eV per atom
V: 468.97 Å³/f.u.
Electronic total energy: -2.84 eV/atom

a = 8.4950 Å, b = 8.9774 Å, c = 14.9442 Å
α = 90.00°, β = 124.62°, γ = 90.00°
With the nearest neighbours (Å) after each atom.
Sites, in units of the cell vectors:
1 Rb 0.2185 0.0824 0.2494  6 I 3.72-3.93
2 Rb 0.2185 0.4176 0.7494  6 I 3.72-3.93
3 Rb 0.7815 0.5824 0.2506  6 I 3.72-3.93
4 Rb 0.7815 0.9176 0.7506  6 I 3.72-3.93
5 Sn 0.0000 0.0000 0.5000  6 I 3.18-3.20
6 Sn 0.0000 0.5000 0.0000  6 I 3.18-3.20
7 Pb 0.5000 0.0000 0.0000  6 I 3.24-3.26
8 Pb 0.5000 0.5000 0.5000  6 I 3.24-3.26
9 I 0.1374 0.1996 0.9480  1 Sn 3.20, 1 Pb 3.25
10 I 0.1374 0.3004 0.4480  1 Sn 3.20, 1 Pb 3.25
11 I 0.2543 0.6949 0.9485  1 Sn 3.20, 1 Pb 3.26
12 I 0.2543 0.8051 0.4485  1 Sn 3.20, 1 Pb 3.26
13 I 0.3537 0.0237 0.7476  1 Sn 3.18, 1 Pb 3.24
14 I 0.3537 0.4763 0.2476  1 Sn 3.18, 1 Pb 3.24
15 I 0.6463 0.5237 0.7524  1 Sn 3.18, 1 Pb 3.24
16 I 0.6463 0.9763 0.2524  1 Sn 3.18, 1 Pb 3.24
17 I 0.7457 0.1949 0.5515  1 Sn 3.20, 1 Pb 3.26
18 I 0.7457 0.3051 0.0515  1 Sn 3.20, 1 Pb 3.26
19 I 0.8626 0.6996 0.5520  1 Sn 3.20, 1 Pb 3.25
20 I 0.8626 0.8004 0.0520  1 Sn 3.20, 1 Pb 3.25

---

Entry 7:
A plane-wave DFT calculation with PBE was carried out for crystalline Rb2TaPbI6 at its relaxed geometry.

Computed properties:
Raw formation energy: -0.641 eV per atom
V: 451.60 Å³/f.u.
Electronic total energy: -3.32 eV/atom

a = 8.6117 Å, b = 8.6117 Å, c = 8.6117 Å
α = 60.00°, β = 60.00°, γ = 60.00°
With the nearest neighbours (Å) after each atom.
Sites, in units of the cell vectors:
1 Rb 0.2500 0.2500 0.2500  12 I 4.31
2 Rb 0.7500 0.7500 0.7500  12 I 4.31
3 Ta 0.0000 0.0000 0.0000  6 I 2.88
4 Pb 0.5000 0.5000 0.5000  6 I 3.21
5 I 0.2362 0.2362 0.7638  1 Ta 2.88, 1 Pb 3.21
6 I 0.2362 0.7638 0.2362  1 Ta 2.88, 1 Pb 3.21
7 I 0.2362 0.7638 0.7638  1 Ta 2.88, 1 Pb 3.21
8 I 0.7638 0.2362 0.2362  1 Ta 2.88, 1 Pb 3.21
9 I 0.7638 0.2362 0.7638  1 Ta 2.88, 1 Pb 3.21
10 I 0.7638 0.7638 0.2362  1 Ta 2.88, 1 Pb 3.21

---

Entry 8:
A plane-wave DFT calculation with PBE was carried out for crystalline RbTbPbI6 at its relaxed geometry.

Computed properties:
Raw formation energy: -1.182 eV per atom
V: 464.82 Å³/f.u.
Electronic total energy: -3.25 eV/atom

a = 8.1801 Å, b = 8.1801 Å, c = 16.0424 Å
α = 90.00°, β = 90.00°, γ = 120.00°
With the nearest neighbours (Å) after each atom.
Sites, in units of the cell vectors:
1 Rb 0.0000 0.0000 0.0000  6 I 3.75
2 Rb 0.0000 0.0000 0.5000  6 I 3.75
3 Tb 0.3333 0.6667 0.2500  6 I 3.06
4 Tb 0.6667 0.3333 0.7500  6 I 3.06
5 Pb 0.3333 0.6667 0.7500  6 I 3.25
6 Pb 0.6667 0.3333 0.2500  6 I 3.25
7 I 0.0180 0.3791 0.1376  1 Tb 3.06, 1 Pb 3.25
8 I 0.0180 0.6389 0.3624  1 Tb 3.06, 1 Pb 3.25
9 I 0.3611 0.3791 0.3624  1 Tb 3.06, 1 Pb 3.25
10 I 0.3611 0.9820 0.1376  1 Tb 3.06, 1 Pb 3.25
11 I 0.3791 0.0180 0.6376  1 Tb 3.06, 1 Pb 3.25
12 I 0.3791 0.3611 0.8624  1 Tb 3.06, 1 Pb 3.25
13 I 0.6209 0.6389 0.1376  1 Tb 3.06, 1 Pb 3.25
14 I 0.6209 0.9820 0.3624  1 Tb 3.06, 1 Pb 3.25
15 I 0.6389 0.0180 0.8624  1 Tb 3.06, 1 Pb 3.25
16 I 0.6389 0.6209 0.6376  1 Tb 3.06, 1 Pb 3.25
17 I 0.9820 0.3611 0.6376  1 Tb 3.06, 1 Pb 3.25
18 I 0.9820 0.6209 0.8624  1 Tb 3.06, 1 Pb 3.25

---

Entry 9:
A plane-wave DFT calculation with PBE was carried out for crystalline RbTbPb2I8 at its relaxed geometry.

Computed properties:
Raw formation energy: -0.993 eV per atom
V: 572.66 Å³/f.u.
Electronic total energy: -3.11 eV/atom

a = 7.4010 Å, b = 7.8355 Å, c = 9.8775 Å
α = 89.96°, β = 89.90°, γ = 88.74°
With the nearest neighbours (Å) after each atom.
Sites, in units of the cell vectors:
1 Rb 0.0000 0.0000 0.0000  6 I 3.56-3.58
2 Tb 0.0000 0.0000 0.5000  6 I 3.04-3.12
3 Pb 0.4998 0.5001 0.2505  6 I 3.18-3.46
4 Pb 0.5002 0.4999 0.7495  6 I 3.18-3.46
5 I 0.2341 0.3256 0.5003  1 Tb 3.12, 2 Pb 3.45-3.46
6 I 0.2488 0.8460 0.7148  1 Tb 3.04, 1 Pb 3.27
7 I 0.2497 0.8470 0.2848  1 Tb 3.04, 1 Pb 3.27
8 I 0.2669 0.3758 0.0004  2 Pb 3.18
9 I 0.7331 0.6242 0.9996  2 Pb 3.18
10 I 0.7503 0.1530 0.7152  1 Tb 3.04, 1 Pb 3.27
11 I 0.7512 0.1540 0.2852  1 Tb 3.04, 1 Pb 3.27
12 I 0.7659 0.6744 0.4997  1 Tb 3.12, 2 Pb 3.45-3.46

---

Entry 10:
A plane-wave DFT calculation with PBE was carried out for crystalline Rb2TePbI6 at its relaxed geometry.

Computed properties:
Raw formation energy: -0.698 eV per atom
V: 497.40 Å³/f.u.
Electronic total energy: -2.51 eV/atom

a = 8.9557 Å, b = 8.9557 Å, c = 8.9557 Å
α = 121.31°, β = 121.31°, γ = 87.74°
With the nearest neighbours (Å) after each atom.
Sites, in units of the cell vectors:
1 Rb 0.2500 0.7500 0.5000  12 I 4.39-4.48
2 Rb 0.7500 0.2500 0.5000  12 I 4.39-4.48
3 Te 0.0000 0.0000 0.0000  6 I 3.06-3.31
4 Pb 0.5000 0.5000 0.0000  6 I 3.15
5 I 0.2463 0.2463 0.4926  1 Te 3.06, 1 Pb 3.15
6 I 0.2463 0.7537 0.0000  1 Te 3.06, 1 Pb 3.15
7 I 0.2560 0.2560 0.0000  1 Pb 3.15, 1 Te 3.31
8 I 0.7440 0.7440 0.0000  1 Pb 3.15, 1 Te 3.31
9 I 0.7537 0.2463 0.0000  1 Te 3.06, 1 Pb 3.15
10 I 0.7537 0.7537 0.5074  1 Te 3.06, 1 Pb 3.15

---

Entry 11:
A plane-wave DFT calculation with PBE was carried out for crystalline Rb2TlPbI5 at its relaxed geometry.

Computed properties:
Raw formation energy: -0.945 eV per atom
V: 502.88 Å³/f.u.
Electronic total energy: -2.70 eV/atom

a = 6.2059 Å, b = 6.2059 Å, c = 13.0573 Å
α = 90.00°, β = 90.00°, γ = 90.00°
With the nearest neighbours (Å) after each atom.
Sites, in units of the cell vectors:
1 Rb 0.0000 0.0000 0.2180  1 I 3.68
2 Rb 0.0000 0.0000 0.7820  1 I 3.68
3 Tl 0.5000 0.5000 0.5000  2 I 3.31
4 Pb 0.5000 0.5000 0.0000  6 I 3.10-3.22
5 I 0.0000 0.0000 0.5000  2 Rb 3.68
6 I 0.0000 0.5000 0.0000  2 Pb 3.10
7 I 0.5000 0.0000 0.0000  2 Pb 3.10
8 I 0.5000 0.5000 0.2465  1 Pb 3.22, 1 Tl 3.31
9 I 0.5000 0.5000 0.7535  1 Pb 3.22, 1 Tl 3.31